DFT (meta-GGA SCAN) results for a PBEsol-optimized structure of ReTcTeI2.

a = 5.416 Å, b = 5.416 Å, c = 5.073 Å
α = 90.00°, β = 90.00°, γ = 90.00°
Atoms (fractional coordinates):
Re 0.000 0.000 0.000
Tc 0.500 0.500 0.500
Te 0.000 0.000 0.500
I 0.000 0.500 0.000
I 0.500 0.000 0.000

Computed properties:
Spin magnetization (μB/cell): 3.36
Formation energy (no corrections) (eV per atom): 1.44
Symmetry: P4/mmm (123)
Final energy (eV per atom): -41.94
Crystal system: tetragonal

DFT (meta-GGA SCAN) results for a PBEsol-optimized structure of CuTe2SeN.

a = 5.276 Å, b = 5.276 Å, c = 3.532 Å
α = 90.00°, β = 90.00°, γ = 90.00°
Atoms (fractional coordinates):
Cu 0.000 0.000 0.000
Te 0.000 0.500 0.000
Te 0.500 0.000 0.000
Se 0.500 0.500 0.500
N 0.000 0.000 0.500

Computed properties:
Spin magnetization (μB/cell): 1.45
Formation energy (no corrections) (eV per atom): 0.78
Symmetry: P4/mmm (123)
Final energy (eV per atom): -23.04
Crystal system: tetragonal

DFT (meta-GGA SCAN) results for a PBEsol-optimized structure of As2Pd2Pb.

a = 5.893 Å, b = 5.893 Å, c = 5.893 Å
α = 136.23°, β = 136.23°, γ = 63.62°
Atoms (fractional coordinates):
As 0.127 0.127 0.000
As 0.873 0.873 0.000
Pd 0.250 0.750 0.500
Pd 0.750 0.250 0.500
Pb 0.500 0.500 0.000

Computed properties:
Spin magnetization (μB/cell): 0.00
Symmetry: I4/mmm (139)
Final energy (eV per atom): -36.59
Calculated formation energy (eV per atom): -0.250
Crystal system: tetragonal

DFT (meta-GGA SCAN) results for a PBEsol-optimized structure of Tl2TePW.

a = 5.907 Å, b = 5.907 Å, c = 4.882 Å
α = 90.00°, β = 90.00°, γ = 90.00°
Atoms (fractional coordinates):
Tl 0.000 0.500 0.000
Tl 0.500 0.000 0.000
Te 0.000 0.000 0.000
P 0.000 0.000 0.500
W 0.500 0.500 0.500

Computed properties:
Spin magnetization (μB/cell): 4.71
Formation energy (no corrections) (eV per atom): 1.90
Symmetry: P4/mmm (123)
Final energy (eV per atom): -50.51
Crystal system: tetragonal

- Look up the final energy of the first one.
  -41.94 eV per atom

- Which value of final energy does entry 3 give?
  -36.59 eV per atom